[1]
Compound: Na3Fe2H9
Source: the Alexandria database
Functional: PBE-GGA
Structure: optimized geometry

Summary:
total energy = -3.70 eV per atom

Cell and atoms, written as POSCAR:
```
Na3Fe2H9
1.0
6.586 0.335 0.954
0.873 6.537 0.954
0.364 0.335 6.645
Na H Fe
6 18 4
Direct
0.092 0.408 0.750
0.592 0.250 0.908
0.408 0.750 0.092
0.750 0.092 0.408
0.250 0.908 0.592
0.908 0.592 0.250
0.407 0.093 0.250
0.593 0.907 0.750
0.907 0.750 0.593
0.544 0.396 0.250
0.750 0.593 0.907
0.250 0.544 0.396
0.956 0.250 0.104
0.456 0.604 0.750
0.604 0.750 0.456
0.750 0.456 0.604
0.250 0.407 0.093
0.044 0.750 0.896
0.396 0.250 0.544
0.750 0.896 0.044
0.250 0.104 0.956
0.093 0.250 0.407
0.896 0.044 0.750
0.104 0.956 0.250
0.672 0.672 0.672
0.828 0.828 0.828
0.172 0.172 0.172
0.328 0.328 0.328
```


[2]
Compound: NpTe2Br8
Source: the Alexandria database
Functional: PBE-GGA
Structure: optimized geometry

Summary:
formation energy without anion corrections = -0.6451 eV per atom

Cell and atoms, written as POSCAR:
```
NpTe2Br8
1.0
10.058 -2.365 -1.652
-1.466 7.711 0.125
-1.466 2.771 7.197
Te Br Np
2 8 1
Direct
0.561 0.927 0.927
0.439 0.073 0.073
0.129 0.149 0.713
0.871 0.851 0.287
0.685 0.253 0.253
0.757 0.787 0.787
0.129 0.713 0.149
0.243 0.213 0.213
0.871 0.287 0.851
0.315 0.747 0.747
0.000 0.000 0.000
```


[3]
Compound: YMnCr2Se
Source: the Alexandria database
Functional: PBE-GGA
Structure: optimized geometry

Summary:
formation energy without anion corrections = 0.3787 eV per atom

Cell and atoms, written as POSCAR:
```
YMnCr2Se
1.0
4.511 0.000 0.000
0.000 4.821 0.000
0.000 0.000 4.511
Y Mn Se Cr
1 1 1 2
Direct
0.500 0.500 0.500
0.000 0.000 0.000
0.000 0.500 0.000
0.500 0.000 0.000
0.000 0.000 0.500
```


[4]
Compound: NaHf2Ta
Source: the Alexandria database
Functional: PBE-GGA
Structure: optimized geometry

Summary:
relative energy among the computed polymorphs = 0 kJ/mol of formula units
formation enthalpy at 0 K = 2.480 eV/f.u.

Cell and atoms, written as POSCAR:
```
NaHf2Ta
1.0
-3.127 -3.303 1.814
-1.935 0.647 4.452
-4.744 1.118 0.469
Hf Ta Na
2 1 1
Direct
0.750 0.750 0.750
0.250 0.250 0.250
0.500 0.500 0.500
0.000 0.000 0.000
```


[5]
Compound: AcPmAsO5
Source: the Alexandria database
Functional: PBE-GGA
Structure: optimized geometry

Summary:
formation energy without anion corrections = -2.4746 eV per atom

Cell and atoms, written as POSCAR:
```
AcPmAsO5
1.0
-0.233 -4.864 -3.907
5.351 2.849 -1.489
1.133 -3.168 7.489
Ac O Pm As
2 10 2 2
Direct
0.677 0.323 0.750
0.323 0.677 0.250
0.604 0.734 0.901
0.115 0.652 0.898
0.652 0.115 0.398
0.885 0.348 0.102
0.348 0.885 0.602
0.396 0.266 0.099
0.089 0.911 0.250
0.734 0.604 0.401
0.911 0.089 0.750
0.266 0.396 0.599
0.000 0.000 0.000
0.000 0.000 0.500
0.686 0.314 0.250
0.314 0.686 0.750
```


[6]
Compound: Ba4ScBe
Source: the Alexandria database
Functional: PBE-GGA
Structure: optimized geometry

Summary:
formation enthalpy at 0 K = 5.768 eV/f.u.

Cell and atoms, written as POSCAR:
```
Ba4ScBe
1.0
0.000 5.144 5.144
5.144 0.000 5.144
5.144 5.144 0.000
Sc Ba Be
1 4 1
Direct
0.000 0.000 0.000
0.375 0.875 0.375
0.875 0.375 0.375
0.375 0.375 0.875
0.375 0.375 0.375
0.750 0.750 0.750
```


[7]
Compound: Pr2Y3Ho6Er
Source: the Alexandria database
Functional: PBE-GGA
Structure: optimized geometry

Summary:
formation enthalpy at 0 K = 0.251 eV/f.u.

Cell and atoms, written as POSCAR:
```
Pr2Y3Ho6Er
1.0
-1.951 -4.697 -3.505
5.735 2.188 -0.688
2.583 -6.719 9.373
Y Ho Er Pr
3 6 1 2
Direct
0.500 0.500 0.500
0.834 0.166 0.500
0.166 0.834 0.500
0.248 0.248 0.748
0.084 0.417 0.252
0.417 0.084 0.252
0.916 0.583 0.748
0.752 0.752 0.252
0.583 0.916 0.748
0.000 0.000 0.000
0.667 0.333 0.000
0.333 0.667 0.000
```


[8]
Compound: SmCu2Au
Source: the Alexandria database
Functional: PBE-GGA
Structure: optimized geometry

Summary:
formation enthalpy at 0 K = -1.257 eV/f.u.

Cell and atoms, written as POSCAR:
```
SmCu2Au
1.0
-2.652 3.572 -0.139
-3.399 0.137 -2.870
-4.660 -0.608 2.039
Sm Cu Au
1 2 1
Direct
0.000 0.000 0.000
0.215 0.215 0.356
0.785 0.785 0.644
0.500 0.500 0.500
```